HfCo4B: optimized geometry, PBE.

For the theoretical density, the calculation gives 10.14 g/cm³. The energy of formation from the pure elements comes out at -234 meV/atom. The size of the total moment is 11.2 μB/cell. For the density of states at the Fermi level, the calculation gives 22.77 states/eV per cell.

It has space group Cmcm (No. 63), with a = 3.9584 Å, b = 13.2527 Å, c = 5.3060 Å, α = 90.00°, β = 90.00° and γ = 90.00°. The asymmetric unit holds Hf at (0.0000, 0.0988, 0.2500), Co at (0.0000, 0.1088, 0.7500), Co at (0.0000, 0.2942, 0.5093), Co at (0.0000, 0.5000, 0.0000) and B at (0.0000, 0.3936, 0.2500).



Hf2CoB: optimized geometry, PBE.

For the theoretical density, the calculation gives 12.03 g/cm³. As for the energy above the most stable polymorph in this dataset: 0 meV per atom. The energy of formation from the pure elements comes out at -427 meV/atom. The size of the total moment is 0.0 μB/cell. For the density of states at the Fermi level, the calculation gives 5.11 states/eV per cell.

It has space group P2_1/m (No. 11), with a = 5.0930 Å, b = 3.5947 Å, c = 6.8265 Å, α = 90.00°, β = 109.47° and γ = 90.00°. The asymmetric unit holds Hf at (0.2140, 0.2500, 0.4234), Hf at (0.2232, 0.2500, 0.9329), Co at (0.3694, 0.7500, 0.2198) and B at (0.3440, 0.7500, 0.7064).



Hf3CoB4: optimized geometry, PBE.

For the theoretical density, the calculation gives 10.58 g/cm³. The energy of formation from the pure elements comes out at -532 meV/atom. The size of the total moment is 0.0 μB/cell. For the density of states at the Fermi level, the calculation gives 7.28 states/eV per cell.

It has space group Immm (No. 71), with a = 3.4728 Å, b = 4.6866 Å, c = 12.2950 Å, α = 90.00°, β = 90.00° and γ = 90.00°. The asymmetric unit holds Hf at (0.0000, 0.0000, 0.0000), Hf at (0.0000, 0.5000, 0.1899), Co at (0.0000, 0.0000, 0.5000) and B at (0.0000, 0.3196, 0.3766).